A relaxed structure of NpVIr, computed with GGA-PBE.

It has space group Pnma (No. 62), with a = 7.6689 Å, b = 4.4432 Å, c = 6.4020 Å, α = 90.00°, β = 90.00° and γ = 90.00°. Symmetry generates all atoms from Np at (0.0123, 0.2500, 0.1306), V at (0.1310, 0.2500, 0.5539) and Ir at (0.1804, 0.7500, 0.3610).

The value obtained for the formation enthalpy at 0 K is -0.113 eV per atom. The distance to the lowest polymorph of the same formula is 4 meV/atom. The calculation puts the calculated density at 14.6 g cm⁻³.